Below is a relaxed Sm2Br2N crystal, with properties calculated at the GGA-PBE level.

abc: 21.414 3.972 7.576
angles: 90.00 96.73 90.00
Space group C2/m (No. 12)
Inequivalent atoms, fractional coordinates:
Sm  0.174  0.000  0.356 [4 per cell]
Sm  0.183  0.500  0.937 [4 per cell]
Br  0.081  0.500  0.207 [4 per cell]
Br  0.107  0.000  0.693 [4 per cell]
N  0.212  0.000  0.102 [4 per cell]

Values from the calculation:
volume = 639.97 Å³ per cell
uncorrected formation energy = -1.577 eV/atom
size of the total moment = 0.202 μB/f.u.

Below is a relaxed Sm2Br2N crystal, with properties calculated at the GGA-PBE level.

abc: 6.522 3.766 11.223
angles: 90.00 102.43 90.00
Space group C2/m (No. 12)
Inequivalent atoms, fractional coordinates:
Sm  0.212  0.000  0.122 [4 per cell]
Br  0.054  0.000  0.696 [4 per cell]
N  0.000  0.500  0.000 [2 per cell]

Values from the calculation:
volume = 269.23 Å³ per cell
uncorrected formation energy = -1.677 eV/atom
size of the total moment = 0.000 μB/f.u.

Below is a relaxed Sm3BrN2 crystal, with properties calculated at the GGA-PBE level.

abc: 3.6582 3.6582 20.2442
angles: 90.00 90.00 120.00
Space group P6_3/mmc (No. 194)
Inequivalent atoms, fractional coordinates:
Sm  0.0000  0.0000  0.0000 [2 per cell]
Sm  0.3333  0.6667  0.1332 [4 per cell]
Br  0.0000  0.0000  0.2500 [2 per cell]
N  0.3333  0.6667  0.5761 [4 per cell]

Values from the calculation:
volume = 234.62 Å³ per cell
uncorrected formation energy = -1.447 eV/atom
size of the total moment = 0.000 μB/f.u.

Below is a relaxed Sr2SmBr2N2 crystal, with properties calculated at the GGA-PBE level.

abc: 4.581 4.581 16.185
angles: 90.00 90.00 90.00
Space group I4/mmm (No. 139)
Inequivalent atoms, fractional coordinates:
Sr  0.000  0.000  0.104 [4 per cell]
Sm  0.000  0.000  0.500 [2 per cell]
Br  0.000  0.000  0.315 [4 per cell]
N  0.000  0.500  0.000 [4 per cell]

Values from the calculation:
volume = 339.67 Å³ per cell
uncorrected formation energy = -1.307 eV/atom
size of the total moment = 0.327 μB/f.u.